Record 1
Entry from the Alexandria database: a relaxed Cd2MoAu crystal (PBE).

a = 2.8522 Å, b = 5.1297 Å, c = 10.5013 Å
α = 90.00°, β = 90.00°, γ = 90.00°
Element x y z (fractional)
Cd (0.0000, 0.0000, 0.0000)
Cd (0.0000, 0.5000, 0.2299)
Cd (0.5000, 0.0000, 0.7299)
Cd (0.5000, 0.5000, 0.5000)
Mo (0.0000, 0.5000, 0.7475)
Mo (0.5000, 0.0000, 0.2475)
Au (0.0000, 0.0000, 0.4772)
Au (0.5000, 0.5000, 0.9772)

Output
- space-group type = No. 44

Record 2
Entry from the Alexandria database: a relaxed Cd2MoAu crystal (PBE).

a = 4.2293 Å, b = 4.2293 Å, c = 4.1512 Å
α = 90.00°, β = 90.00°, γ = 90.00°
Element x y z (fractional)
Cd (0.0000, 0.5000, 0.0000)
Cd (0.5000, 0.0000, 0.0000)
Mo (0.0000, 0.0000, 0.5000)
Au (0.5000, 0.5000, 0.5000)

Output
- space-group type = No. 123

Record 3
Entry from the Alexandria database: a relaxed Cd2MoAu crystal (PBE).

a = 4.4109 Å, b = 4.4109 Å, c = 7.8689 Å
α = 90.00°, β = 90.00°, γ = 90.00°
Element x y z (fractional)
Cd (0.0000, 0.5000, 0.2500)
Cd (0.0000, 0.5000, 0.7500)
Cd (0.5000, 0.0000, 0.2500)
Cd (0.5000, 0.0000, 0.7500)
Mo (0.0000, 0.0000, 0.0000)
Mo (0.5000, 0.5000, 0.5000)
Au (0.0000, 0.0000, 0.5000)
Au (0.5000, 0.5000, 0.0000)

Output
- space-group type = No. 139

Record 4
Entry from the Alexandria database: a relaxed Cd2MoAu crystal (PBE).

a = 7.7287 Å, b = 7.7287 Å, c = 5.7030 Å
α = 90.00°, β = 90.00°, γ = 90.00°
Element x y z (fractional)
Cd (0.2400, 0.2500, 0.1250)
Cd (0.2500, 0.7400, 0.3750)
Cd (0.2500, 0.7600, 0.8750)
Cd (0.2600, 0.2500, 0.6250)
Cd (0.7400, 0.7500, 0.6250)
Cd (0.7500, 0.2400, 0.8750)
Cd (0.7500, 0.2600, 0.3750)
Cd (0.7600, 0.7500, 0.1250)
Mo (0.0000, 0.0000, 0.5000)
Mo (0.0000, 0.5000, 0.7500)
Mo (0.5000, 0.0000, 0.2500)
Mo (0.5000, 0.5000, 0.0000)
Au (0.0000, 0.0000, 0.0000)
Au (0.0000, 0.5000, 0.2500)
Au (0.5000, 0.0000, 0.7500)
Au (0.5000, 0.5000, 0.5000)

Output
- space-group type = No. 122

Record 5
Entry from the Alexandria database: a relaxed Cd2MoAu crystal (PBE).

a = 2.9578 Å, b = 2.9578 Å, c = 29.3574 Å
α = 90.00°, β = 90.00°, γ = 120.00°
Element x y z (fractional)
Cd (0.0000, 0.0000, 0.2495)
Cd (0.0000, 0.0000, 0.7505)
Cd (0.3333, 0.6667, 0.4172)
Cd (0.3333, 0.6667, 0.9161)
Cd (0.6667, 0.3333, 0.0839)
Cd (0.6667, 0.3333, 0.5828)
Mo (0.0000, 0.0000, 0.5000)
Mo (0.3333, 0.6667, 0.1667)
Mo (0.6667, 0.3333, 0.8333)
Au (0.0000, 0.0000, 0.0000)
Au (0.3333, 0.6667, 0.6667)
Au (0.6667, 0.3333, 0.3333)

Output
- space-group type = No. 166

Record 6
Entry from the Alexandria database: a relaxed CdMoAu crystal (PBE).

a = 2.9025 Å, b = 2.9025 Å, c = 7.3406 Å
α = 90.00°, β = 90.00°, γ = 120.00°
Element x y z (fractional)
Cd (0.0000, 0.0000, 0.0000)
Mo (0.6667, 0.3333, 0.3396)
Au (0.3333, 0.6667, 0.6549)

Output
- space-group type = No. 156

Record 7
Entry from the Alexandria database: a relaxed Cd2MoAu crystal (PBE).

a = 10.4246 Å, b = 2.8309 Å, c = 5.2736 Å
α = 90.00°, β = 105.78°, γ = 90.00°
Element x y z (fractional)
Cd (0.2469, 0.0000, 0.2534)
Cd (0.2531, 0.5000, 0.7466)
Cd (0.7469, 0.5000, 0.2534)
Cd (0.7531, 0.0000, 0.7466)
Mo (0.0000, 0.0000, 0.5000)
Mo (0.5000, 0.5000, 0.5000)
Au (0.0000, 0.5000, 0.0000)
Au (0.5000, 0.0000, 0.0000)

Output
- space-group type = No. 12

Record 8
Entry from the Alexandria database: a relaxed Cd2MoAu crystal (PBE).

a = 2.8834 Å, b = 2.8834 Å, c = 8.9773 Å
α = 90.00°, β = 90.00°, γ = 90.00°
Element x y z (fractional)
Cd (0.0000, 0.0000, 0.0000)
Cd (0.5000, 0.5000, 0.2779)
Mo (0.0000, 0.0000, 0.5227)
Au (0.5000, 0.5000, 0.7477)

Output
- space-group type = No. 99

Result set for formation energy: 0.34, 0.31, 0.42, 0.68, 0.25, 0.29, 0.33, 0.19 eV/atom, one per record in the order listed.
Result set for energy relative to the lowest polymorph listed for this composition: 0.153, 0.122, 0.236, 0.498, 0.070, 0.060, 0.144, 0.003 eV/atom, one per record in the order listed.